First-principles (PBE with a Hubbard U) data for WAuOF2 after structural relaxation, as listed in Alexandria.

The structure in POSCAR format:
```
WAuOF2
1.0
4.305 0.000 0.000
0.000 4.305 0.000
0.000 0.000 4.006
Au O W F
1 1 1 2
direct
0.500 0.500 0.500
0.000 0.000 0.500
0.000 0.000 0.000
0.000 0.500 0.000
0.500 0.000 0.000
```

Magnetization ... 2.43 μB per formula unit
Relative energy among the computed polymorphs ... 0 meV/atom
Calculated total energy ... -25.3 eV per cell